DFT (PBE-GGA) results for a geometry-optimized GeBiSb3 structure.

Calculated values
Crystal system: cubic
Space-group type: Pm-3m

Cell lengths 5.7867, 5.7867, 5.7867 Å; angles 90.00, 90.00, 90.00 degrees
With the nearest neighbours (Å) after each atom.
Sites, in units of the cell vectors:
Sb1 0.0000 0.5000 0.0000  2 Bi 2.89
Sb2 0.0000 0.0000 0.5000  2 Bi 2.89
Sb3 0.5000 0.0000 0.0000  2 Bi 2.89
Ge1 0.5000 0.5000 0.5000  12 Sb 4.09
Bi1 0.0000 0.0000 0.0000  6 Sb 2.89


DFT (PBE-GGA) results for a geometry-optimized GeBiSb2 structure.

Calculated values
Crystal system: trigonal
Space-group type: R3m

Cell lengths 4.1519, 4.1519, 8.4542 Å; angles 75.79, 75.79, 60.00 degrees
With the nearest neighbours (Å) after each atom.
Sites, in units of the cell vectors:
Ge1 0.6594 0.6594 0.0217  3 Sb 2.75
Bi1 0.4893 0.4893 0.5322  3 Sb 3.01
Sb1 0.0809 0.0809 0.7573  3 Bi 3.01, 3 Ge 3.22
Sb2 0.2704 0.2704 0.1888  3 Ge 2.75


no.,total DFT energy (no corrections) (eV/atom),density (Mg/m³)
1,-3.05,5.54
2,-4.08,7.20